Compound: BaCr2IO8
Source: Alexandria via LeMat-Bulk
Functional: GGA+U
Structure: optimized geometry

Output
**Calculated total energy**: -6.16 eV/atom

Unit cell a=4.8048 b=5.0204 c=9.0880 alpha=103.66 beta=91.42 gamma=99.10
Last column: nearest neighbours and their distance in Å.
Space group P-1 (No. 2)
One atom of each set of equivalent atoms:
Ba 0.0000 0.0000 0.0000 [1 per cell]  10 O 2.86-3.05
Cr 0.4293 0.3449 0.7664 [2 per cell]  4 O 1.65-1.73
I 0.0000 0.5000 0.5000 [1 per cell]  2 O 2.11
O 0.2309 0.2498 0.5944 [2 per cell]  1 Cr 1.73
O 0.2415 0.5076 0.8963 [2 per cell]  1 Cr 1.65
O 0.2666 0.4539 0.2498 [2 per cell]  1 Cr 1.67
O 0.4840 0.0620 0.8173 [2 per cell]  1 Cr 1.65